A plane-wave DFT calculation with PBE was carried out for Ac4Tl2I3 after structural relaxation.

abc: 4.771 4.771 20.046
angles: 90.00 90.00 120.00
Fractional coordinates of all 9 atoms:
Ac: 0.000 0.000 0.200
Ac: 0.000 0.000 0.800
Ac: 0.333 0.667 0.390
Ac: 0.667 0.333 0.610
Tl: 0.333 0.667 0.703
Tl: 0.667 0.333 0.297
I: 0.000 0.000 0.500
I: 0.333 0.667 0.099
I: 0.667 0.333 0.901

Properties
total energy: -3.68 eV per atom
magnetic moment: 0.00 μB per formula unit
DOS at the Fermi energy: 5.382 states/eV/f.u.

A plane-wave DFT calculation with PBE was carried out for Ac2TmI after structural relaxation.

abc: 3.908 3.908 10.093
angles: 90.00 90.00 90.00
Fractional coordinates of all 4 atoms:
Ac: 0.000 0.000 0.249
Ac: 0.000 0.000 0.751
Tm: 0.500 0.500 0.500
I: 0.500 0.500 0.000

Properties
total energy: -3.92 eV per atom
magnetic moment: 0.00 μB per formula unit
DOS at the Fermi energy: 4.648 states/eV/f.u.
energy above the most stable polymorph in this dataset: 0.0000 eV/atom

A plane-wave DFT calculation with PBE was carried out for Ac2TmI after structural relaxation.

abc: 12.829 12.829 12.829
angles: 17.07 17.07 17.07
Fractional coordinates of all 4 atoms:
Ac: 0.094 0.094 0.094
Ac: 0.906 0.906 0.906
Tm: 0.000 0.000 0.000
I: 0.500 0.500 0.500

Properties
total energy: -3.67 eV per atom
magnetic moment: 0.00 μB per formula unit
DOS at the Fermi energy: 5.723 states/eV/f.u.
energy above the most stable polymorph in this dataset: 0.2534 eV/atom

A plane-wave DFT calculation with PBE was carried out for AcVI2 after structural relaxation.

abc: 10.736 10.736 10.736
angles: 21.70 21.70 21.70
Fractional coordinates of all 4 atoms:
Ac: 0.000 0.000 0.000
V: 0.500 0.500 0.500
I: 0.412 0.412 0.412
I: 0.588 0.588 0.588

Properties
total energy: -4.21 eV per atom
magnetic moment: 4.21 μB per formula unit
DOS at the Fermi energy: 2.915 states/eV/f.u.

A plane-wave DFT calculation with PBE was carried out for AcVI after structural relaxation.

abc: 17.070 17.054 5.180
angles: 81.45 81.08 17.46
Fractional coordinates of all 12 atoms:
Ac: 0.048 0.048 0.202
Ac: 0.202 0.202 0.048
Ac: 0.798 0.798 0.952
Ac: 0.952 0.952 0.798
V: 0.265 0.265 0.485
V: 0.485 0.485 0.265
V: 0.515 0.515 0.735
V: 0.735 0.735 0.515
I: 0.144 0.606 0.144
I: 0.394 0.856 0.394
I: 0.606 0.144 0.606
I: 0.856 0.394 0.856

Properties
total energy: -4.74 eV per atom
magnetic moment: 2.96 μB per formula unit
DOS at the Fermi energy: 3.506 states/eV/f.u.

A plane-wave DFT calculation with PBE was carried out for AcWI2 after structural relaxation.

abc: 10.761 10.761 10.761
angles: 19.66 19.66 19.66
Fractional coordinates of all 4 atoms:
Ac: 0.000 0.000 0.000
W: 0.500 0.500 0.500
I: 0.416 0.416 0.416
I: 0.584 0.584 0.584

Properties
total energy: -4.37 eV per atom
magnetic moment: 0.72 μB per formula unit
DOS at the Fermi energy: 4.030 states/eV/f.u.

A plane-wave DFT calculation with PBE was carried out for AcYI after structural relaxation.

abc: 5.592 5.592 4.011
angles: 90.00 90.00 120.00
Fractional coordinates of all 3 atoms:
Ac: 0.000 0.000 0.000
Y: 0.667 0.333 0.500
I: 0.333 0.667 0.500

Properties
total energy: -4.30 eV per atom
magnetic moment: 0.00 μB per formula unit
DOS at the Fermi energy: 3.627 states/eV/f.u.

A plane-wave DFT calculation with PBE was carried out for AcY2I after structural relaxation.

abc: 12.206 12.206 12.206
angles: 17.46 17.46 17.46
Fractional coordinates of all 4 atoms:
Ac: 0.000 0.000 0.000
Y: 0.098 0.098 0.098
Y: 0.902 0.902 0.902
I: 0.500 0.500 0.500

Properties
total energy: -4.72 eV per atom
magnetic moment: 0.00 μB per formula unit
DOS at the Fermi energy: 7.005 states/eV/f.u.

A plane-wave DFT calculation with PBE was carried out for AcZnI2 after structural relaxation.

abc: 12.764 12.764 12.764
angles: 19.67 19.67 19.67
Fractional coordinates of all 4 atoms:
Ac: 0.000 0.000 0.000
Zn: 0.500 0.500 0.500
I: 0.393 0.393 0.393
I: 0.607 0.607 0.607

Properties
total energy: -2.85 eV per atom
magnetic moment: 0.00 μB per formula unit
DOS at the Fermi energy: 1.966 states/eV/f.u.

A plane-wave DFT calculation with PBE was carried out for Ac2ZnI after structural relaxation.

abc: 8.677 8.677 8.677
angles: 30.55 30.55 30.55
Fractional coordinates of all 4 atoms:
Ac: 0.238 0.238 0.238
Ac: 0.762 0.762 0.762
Zn: 0.500 0.500 0.500
I: 0.000 0.000 0.000

Properties
total energy: -3.32 eV per atom
magnetic moment: 0.00 μB per formula unit
DOS at the Fermi energy: 5.121 states/eV/f.u.
energy above the most stable polymorph in this dataset: 0.0000 eV/atom

A plane-wave DFT calculation with PBE was carried out for AcZnI6 after structural relaxation.

abc: 7.617 7.761 7.808
angles: 95.90 118.25 111.56
Fractional coordinates of all 8 atoms:
Ac: 0.000 0.000 0.000
Zn: 0.000 0.500 0.500
I: 0.150 0.732 0.267
I: 0.186 0.282 0.462
I: 0.484 0.783 0.917
I: 0.516 0.217 0.083
I: 0.814 0.718 0.538
I: 0.850 0.268 0.733

Properties
total energy: -2.62 eV per atom
magnetic moment: 0.99 μB per formula unit
DOS at the Fermi energy: 3.954 states/eV/f.u.

A plane-wave DFT calculation with PBE was carried out for Ac7ZnI12 after structural relaxation.

abc: 10.521 10.521 10.521
angles: 108.27 108.27 108.27
Fractional coordinates of all 20 atoms:
Ac: 0.000 0.000 0.000
Ac: 0.174 0.457 0.382
Ac: 0.382 0.174 0.457
Ac: 0.457 0.382 0.174
Ac: 0.543 0.618 0.826
Ac: 0.618 0.826 0.543
Ac: 0.826 0.543 0.618
Zn: 0.500 0.500 0.500
I: 0.014 0.101 0.342
I: 0.101 0.342 0.014
I: 0.188 0.576 0.725
I: 0.275 0.812 0.424
I: 0.342 0.014 0.101
I: 0.424 0.275 0.812
I: 0.576 0.725 0.188
I: 0.658 0.986 0.899
I: 0.725 0.188 0.576
I: 0.812 0.424 0.275
I: 0.899 0.658 0.986
I: 0.986 0.899 0.658

Properties
total energy: -3.69 eV per atom
magnetic moment: 0.00 μB per formula unit
DOS at the Fermi energy: 10.397 states/eV/f.u.